Here is TlNiPO2 after structural relaxation from Alexandria via LeMat-Bulk. Energies are from PBE with a Hubbard U.

Calculated values
Its density of states at the Fermi level is 4.304 states/eV per cell. The value obtained for the offset from the most stable computed form is 707.6 meV/atom.

a = 4.067 Å, b = 4.067 Å, c = 5.583 Å
α = 90.00°, β = 90.00°, γ = 90.00°
Fractional coordinates of all 5 atoms:
1 Tl 0.000 0.000 0.000
2 Ni 0.500 0.500 0.500
3 P 0.000 0.000 0.500
4 O 0.000 0.500 0.000
5 O 0.500 0.000 0.000